1.
The following is a DFT calculation (PBE+U) of a relaxed TbVO4F crystal.

```
data_TbVO4F
_space_group_name_H-M_alt 'C 1 2/m 1'
_space_group_IT_number 12
_cell_length_a 9.4689
_cell_length_b 7.2063
_cell_length_c 6.5562
_cell_angle_alpha 90.00
_cell_angle_beta 100.18
_cell_angle_gamma 90.00
loop_
_space_group_symop_operation_xyz
'x,y,z'
'-x,-y,-z'
'-x,y,-z'
'x,-y,z'
'x+1/2,y+1/2,z'
'-x+1/2,-y+1/2,-z'
'-x+1/2,y+1/2,-z'
'x+1/2,-y+1/2,z'
loop_
_atom_site_label
_atom_site_type_symbol
_atom_site_fract_x
_atom_site_fract_y
_atom_site_fract_z
_atom_site_occupancy
Tb1 Tb 0.1948 0.0000 0.0823 1
V1 V 0.1266 0.5000 0.2880 1
O1 O 0.0609 0.5000 0.7574 1
O2 O 0.1896 0.3165 0.1591 1
O3 O 0.1932 0.5000 0.5544 1
F1 F 0.0155 0.0000 0.8091 1
```

2.
The following is a DFT calculation (PBE+U) of a relaxed TbWO4F crystal.

Properties
D(E_F) in states/eV/f.u.: 0.0

```
data_TbWO4F
_space_group_name_H-M_alt 'C 1 2/m 1'
_space_group_IT_number 12
_cell_length_a 9.6622
_cell_length_b 7.4333
_cell_length_c 7.1043
_cell_angle_alpha 90.00
_cell_angle_beta 108.69
_cell_angle_gamma 90.00
loop_
_space_group_symop_operation_xyz
'x,y,z'
'-x,-y,-z'
'-x,y,-z'
'x,-y,z'
'x+1/2,y+1/2,z'
'-x+1/2,-y+1/2,-z'
'-x+1/2,y+1/2,-z'
'x+1/2,-y+1/2,z'
loop_
_atom_site_label
_atom_site_type_symbol
_atom_site_fract_x
_atom_site_fract_y
_atom_site_fract_z
_atom_site_occupancy
Tb1 Tb 0.2027 0.0000 0.1106 1
W1 W 0.1521 0.5000 0.2793 1
O1 O 0.0436 0.5000 0.7819 1
O2 O 0.2089 0.3091 0.1595 1
O3 O 0.2382 0.5000 0.5440 1
F1 F 0.0142 0.0000 0.8306 1
```

Number 1: raw total energy -204.6 eV/cell. Number 2: raw total energy -212.2 eV/cell.